No. 1
Density functional theory data (GGA-PBE) for an optimized crystal structure of Sm2Sc2CIBr4.

a = 10.110 Å, b = 10.110 Å, c = 8.766 Å
α = 102.20°, β = 102.20°, γ = 21.61°
Fractional positions:
Sm: 0.000 0.000 0.195
Sm: 0.000 0.000 0.805
Sc: 0.385 0.385 0.943
Sc: 0.615 0.615 0.057
C: 0.500 0.500 0.000
I: 0.500 0.500 0.500
Br: 0.153 0.153 0.286
Br: 0.154 0.154 0.864
Br: 0.846 0.846 0.136
Br: 0.847 0.847 0.714

As for the space-group type: C2/m (12). The value obtained for the final energy is -5.304 eV/atom. As for the total magnetic moment: 0.02 μB/cell. The volume is 322.20 Å³ per cell. For the energy relative to the lowest polymorph listed for this composition, the calculation gives 0 meV per atom.



No. 2
Density functional theory data (GGA-PBE) for an optimized crystal structure of In2Te2Au.

a = 6.413 Å, b = 6.413 Å, c = 6.413 Å
α = 130.82°, β = 130.82°, γ = 72.10°
Fractional positions:
In: 0.132 0.132 0.000
In: 0.868 0.868 0.000
Te: 0.250 0.750 0.500
Te: 0.750 0.250 0.500
Au: 0.500 0.500 0.000

As for the space-group type: I4/mmm (139). The value obtained for the final energy is -2.822 eV/atom. The volume is 147.69 Å³ per cell.



No. 3
Density functional theory data (GGA-PBE) for an optimized crystal structure of AlTlNiS3.

a = 7.117 Å, b = 7.117 Å, c = 9.842 Å
α = 90.00°, β = 90.00°, γ = 151.35°
Fractional positions:
Al: 0.000 0.000 0.000
Al: 0.000 0.000 0.500
Tl: 0.268 0.732 0.750
Tl: 0.732 0.268 0.250
Ni: 0.403 0.597 0.250
Ni: 0.597 0.403 0.750
S: 0.000 0.000 0.250
S: 0.000 0.000 0.750
S: 0.382 0.618 0.023
S: 0.382 0.618 0.477
S: 0.618 0.382 0.523
S: 0.618 0.382 0.977

As for the space-group type: Cmcm (63). The value obtained for the final energy is -4.590 eV/atom. As for the total magnetic moment: 0.02 μB/cell. The volume is 239.02 Å³ per cell.



No. 4
Density functional theory data (GGA-PBE) for an optimized crystal structure of La2U2Tc.

a = 3.629 Å, b = 3.629 Å, c = 10.171 Å
α = 90.00°, β = 90.00°, γ = 90.00°
Fractional positions:
La: 0.000 0.000 0.169
La: 0.000 0.000 0.831
U: 0.000 0.500 0.500
U: 0.500 0.000 0.500
Tc: 0.500 0.500 0.000

As for the space-group type: P4/mmm (123). The value obtained for the final energy is -8.081 eV/atom. As for the total magnetic moment: 2.73 μB/cell. The volume is 133.95 Å³ per cell. Its energy relative to the elements is 478 meV per atom.



No. 5
Density functional theory data (GGA-PBE) for an optimized crystal structure of PmAuF2.

a = 3.905 Å, b = 3.905 Å, c = 5.732 Å
α = 90.00°, β = 90.00°, γ = 120.00°
Fractional positions:
Pm: 0.000 0.000 0.000
Au: 0.667 0.333 0.665
F: 0.000 0.000 0.377
F: 0.333 0.667 0.097

As for the space-group type: P3m1 (156). The value obtained for the final energy is -5.394 eV/atom. As for the total magnetic moment: 0.00 μB/cell. The volume is 75.70 Å³ per cell.



No. 6
Density functional theory data (GGA-PBE) for an optimized crystal structure of BW5C3.

a = 5.182 Å, b = 5.182 Å, c = 10.361 Å
α = 90.00°, β = 90.00°, γ = 131.68°
Fractional positions:
B: 0.017 0.983 0.750
B: 0.983 0.017 0.250
W: 0.136 0.864 0.068
W: 0.136 0.864 0.432
W: 0.255 0.745 0.750
W: 0.444 0.556 0.125
W: 0.444 0.556 0.375
W: 0.556 0.444 0.625
W: 0.556 0.444 0.875
W: 0.745 0.255 0.250
W: 0.864 0.136 0.568
W: 0.864 0.136 0.932
C: 0.247 0.753 0.250
C: 0.337 0.663 0.557
C: 0.337 0.663 0.943
C: 0.663 0.337 0.057
C: 0.663 0.337 0.443
C: 0.753 0.247 0.750

As for the space-group type: Cmcm (63). The value obtained for the final energy is -10.804 eV/atom. As for the total magnetic moment: 0.00 μB/cell. The volume is 207.80 Å³ per cell. For the energy relative to the lowest polymorph listed for this composition, the calculation gives 196 meV per atom.



No. 7
Density functional theory data (GGA-PBE) for an optimized crystal structure of TmOs2.

a = 5.294 Å, b = 5.294 Å, c = 8.736 Å
α = 90.00°, β = 90.00°, γ = 120.00°
Fractional positions:
Tm: 0.333 0.667 0.066
Tm: 0.333 0.667 0.434
Tm: 0.667 0.333 0.566
Tm: 0.667 0.333 0.934
Os: 0.000 0.000 0.000
Os: 0.000 0.000 0.500
Os: 0.172 0.345 0.750
Os: 0.172 0.828 0.750
Os: 0.345 0.172 0.250
Os: 0.655 0.828 0.750
Os: 0.828 0.172 0.250
Os: 0.828 0.655 0.250

As for the space-group type: P6_3/mmc (194). The value obtained for the final energy is -9.348 eV/atom. As for the total magnetic moment: 0.00 μB/cell. The volume is 212.01 Å³ per cell. Its energy relative to the elements is -373 meV per atom.



No. 8
Density functional theory data (GGA-PBE) for an optimized crystal structure of BeAlReMo.

a = 4.235 Å, b = 4.235 Å, c = 4.235 Å
α = 60.00°, β = 60.00°, γ = 60.00°
Fractional positions:
Be: 0.000 0.000 0.000
Al: 0.500 0.500 0.500
Re: 0.250 0.250 0.250
Mo: 0.750 0.750 0.750

As for the space-group type: F-43m (216). The value obtained for the final energy is -7.474 eV/atom. As for the total magnetic moment: 0.48 μB/cell. The volume is 53.70 Å³ per cell. For the energy relative to the lowest polymorph listed for this composition, the calculation gives 342 meV per atom.



No. 9
Density functional theory data (GGA-PBE) for an optimized crystal structure of BiIrNO.

a = 3.976 Å, b = 3.976 Å, c = 7.624 Å
α = 90.00°, β = 90.00°, γ = 90.00°
Fractional positions:
Bi: 0.250 0.250 0.163
Bi: 0.750 0.750 0.837
Ir: 0.250 0.750 0.500
Ir: 0.750 0.250 0.500
N: 0.250 0.250 0.596
N: 0.750 0.750 0.404
O: 0.250 0.750 0.000
O: 0.750 0.250 0.000

As for the space-group type: P4/nmm (129). The value obtained for the final energy is -6.425 eV/atom. As for the total magnetic moment: 0.01 μB/cell. The volume is 120.53 Å³ per cell. For the energy relative to the lowest polymorph listed for this composition, the calculation gives 192 meV per atom.



No. 10
Density functional theory data (GGA-PBE) for an optimized crystal structure of LiAg2Sn.

a = 3.411 Å, b = 3.411 Å, c = 6.505 Å
α = 90.00°, β = 90.00°, γ = 90.00°
Fractional positions:
Li: 0.000 0.000 0.000
Ag: 0.500 0.500 0.218
Ag: 0.500 0.500 0.782
Sn: 0.000 0.000 0.500

As for the space-group type: P4/mmm (123). The value obtained for the final energy is -3.035 eV/atom. The volume is 75.68 Å³ per cell.



No. 11
Density functional theory data (GGA-PBE) for an optimized crystal structure of HfGaB2.

a = 4.216 Å, b = 4.216 Å, c = 4.216 Å
α = 60.00°, β = 60.00°, γ = 60.00°
Fractional positions:
Hf: 0.000 0.000 0.000
Ga: 0.750 0.750 0.750
B: 0.250 0.250 0.250
B: 0.500 0.500 0.500

As for the space-group type: F-43m (216). The value obtained for the final energy is -5.408 eV/atom. As for the total magnetic moment: 0.00 μB/cell. The volume is 53.01 Å³ per cell.



No. 12
Density functional theory data (GGA-PBE) for an optimized crystal structure of Hf4Zr2In3C3.

a = 5.786 Å, b = 5.786 Å, c = 15.312 Å
α = 100.89°, β = 100.89°, γ = 60.01°
Fractional positions:
Hf: 0.026 0.195 0.081
Hf: 0.141 0.306 0.419
Hf: 0.195 0.026 0.581
Hf: 0.306 0.141 0.919
Hf: 0.694 0.859 0.081
Hf: 0.805 0.974 0.419
Hf: 0.859 0.694 0.581
Hf: 0.974 0.805 0.919
Zr: 0.363 0.528 0.084
Zr: 0.472 0.637 0.416
Zr: 0.528 0.363 0.584
Zr: 0.637 0.472 0.916
In: 0.078 0.922 0.250
In: 0.244 0.417 0.750
In: 0.417 0.244 0.250
In: 0.583 0.756 0.750
In: 0.756 0.583 0.250
In: 0.922 0.078 0.750
C: 0.000 0.500 0.000
C: 0.161 0.669 0.500
C: 0.331 0.839 0.000
C: 0.500 0.000 0.500
C: 0.669 0.161 0.000
C: 0.839 0.331 0.500

As for the space-group type: C2/c (15). The value obtained for the final energy is -8.442 eV/atom. As for the total magnetic moment: 0.00 μB/cell. The volume is 433.29 Å³ per cell.



Number 1: calculated density 4.38 g/cm³. Number 2: calculated density 7.67 g/cm³. Number 3: calculated density 5.37 g/cm³. Number 4: calculated density 10.56 g/cm³. Number 5: calculated density 8.34 g/cm³. Number 6: calculated density 15.44 g/cm³. Number 7: calculated density 17.21 g/cm³. Number 8: calculated density 9.84 g/cm³. Number 9: calculated density 11.88 g/cm³. Number 10: calculated density 7.49 g/cm³. Number 11: calculated density 8.45 g/cm³. Number 12: calculated density 9.79 g/cm³.